First-principles (GGA-PBE) data for a relaxed Er2ScAl3CuSi2 crystal, as listed in OQMD.

a = 4.0849 Å, b = 6.7893 Å, c = 6.7893 Å
α = 119.62°, β = 90.00°, γ = 90.00°
Positions (direct):
Si: 0.5000 0.3357 0.6594
Al: 0.5000 0.2409 0.0028
Al: 0.5000 0.0028 0.2409
Er: 0.0000 0.5909 0.9984
Si: 0.5000 0.6594 0.3357
Sc: 0.0000 0.4049 0.4049
Cu: 0.0000 0.0075 0.0075
Al: 0.5000 0.7596 0.7596
Er: 0.0000 0.9984 0.5909

Values from the calculation:
**VASP energy**: -46.89 eV for the cell shown
**Crystal system**: orthorhombic
**Space-group type**: Amm2